Density functional theory data (PBE) for crystalline KReBr2 at its relaxed geometry.

## Properties
Energy relative to the elements, uncorrected: 0.500 eV/atom
Calculated volume: 28.63 A^3/atom
Distance to the lowest polymorph of the same formula: 0.2932 eV/atom
Size of the total moment: 4.49 μB/f.u.
Theoretical density: 5.585 g cm⁻³

Unit cell a=8.3693 b=8.2629 c=3.5442 alpha=90.00 beta=110.86 gamma=90.00
Last column: nearest neighbours and their distance in Å.
Space group C2/m (No. 12)
Asymmetric unit:
K: 0.0000 0.0000 0.0000 x2  4 Br 3.02
Re: 0.0000 0.5000 0.0000 x2  4 Br 3.02
Br: 0.2500 0.2500 0.5000 x4  2 K 3.02, 2 Re 3.02

---

Density functional theory data (PBE) for crystalline TlCu2P2 at its relaxed geometry.

## Properties
Calculated volume: 17.13 A^3/atom
Distance to the lowest polymorph of the same formula: 0.0000 eV/atom
Size of the total moment: 0.00 μB/f.u.
DFT formation energy: 46 meV/atom
Theoretical density: 7.628 g cm⁻³

Unit cell a=4.2711 b=4.2711 c=9.3900 alpha=90.00 beta=90.00 gamma=90.00
Last column: nearest neighbours and their distance in Å.
Space group I4/mmm (No. 139)
Asymmetric unit:
Tl: 0.0000 0.0000 0.0000 x2  8 Cu 3.17, 8 P 3.22
Cu: 0.0000 0.5000 0.2500 x4  4 P 2.46
P: 0.0000 0.0000 0.3803 x4  1 P 2.25, 4 Cu 2.46

---

Density functional theory data (PBE) for crystalline CrHgPt at its relaxed geometry.

## Properties
Calculated volume: 20.98 A^3/atom
Distance to the lowest polymorph of the same formula: 0.1763 eV/atom
Size of the total moment: 4.14 μB/f.u.
DFT formation energy: 288 meV/atom
Theoretical density: 11.811 g cm⁻³

Unit cell a=6.3143 b=6.3143 c=6.3143 alpha=90.00 beta=90.00 gamma=90.00
Last column: nearest neighbours and their distance in Å.
Space group F-43m (No. 216)
Asymmetric unit:
Cr: 0.0000 0.0000 0.0000 x4  4 Pt 2.73
Hg: 0.0000 0.0000 0.5000 x4  4 Pt 2.73
Pt: 0.2500 0.2500 0.7500 x4  4 Cr 2.73, 4 Hg 2.73

---

- Which of these has the lowest calculated volume?
  TlCu2P2

---

What did the second record say?
Density functional theory data (PBE) for crystalline TlCu2P2 at its relaxed geometry.

## Properties
Calculated volume: 17.13 A^3/atom
Distance to the lowest polymorph of the same formula: 0.0000 eV/atom
Size of the total moment: 0.00 μB/f.u.
DFT formation energy: 46 meV/atom
Theoretical density: 7.628 g cm⁻³

Unit cell a=4.2711 b=4.2711 c=9.3900 alpha=90.00 beta=90.00 gamma=90.00
Last column: nearest neighbours and their distance in Å.
Space group I4/mmm (No. 139)
Asymmetric unit:
Tl: 0.0000 0.0000 0.0000 x2  8 Cu 3.17, 8 P 3.22
Cu: 0.0000 0.5000 0.2500 x4  4 P 2.46
P: 0.0000 0.0000 0.3803 x4  1 P 2.25, 4 Cu 2.46

---

- Look up the size of the total moment of the first one.
  4.49 μB/f.u.